Nd3AlPd3: relaxed, PBE-GGA.

Output
Energy of formation from the pure elements, eV/atom: -0.78
Energy, eV per atom: -5.585
Distance to the lowest polymorph of the same formula, meV per atom: 0.0
ρ, g cm⁻³: 7.901

Cell: 4.178 5.794 14.503 Å, 90.00 90.00 111.13°
Fractional coordinates of all 14 atoms:
1 Nd 0.215 0.430 0.897
2 Nd 0.785 0.570 0.103
3 Nd 0.215 0.430 0.603
4 Nd 0.785 0.570 0.397
5 Nd 0.494 0.989 0.750
6 Nd 0.506 0.011 0.250
7 Al 0.500 0.000 0.000
8 Al 0.500 0.000 0.500
9 Pd 0.929 0.858 0.910
10 Pd 0.071 0.142 0.090
11 Pd 0.929 0.858 0.590
12 Pd 0.071 0.142 0.410
13 Pd 0.778 0.555 0.750
14 Pd 0.222 0.445 0.250

NdAlPd4: relaxed, PBE-GGA.

Output
Energy of formation from the pure elements, eV/atom: -0.75
Energy, eV per atom: -5.634
Distance to the lowest polymorph of the same formula, meV per atom: 0.0
ρ, g cm⁻³: 9.131

Cell: 3.942 7.041 7.821 Å, 90.00 90.00 90.00°
Fractional coordinates of all 12 atoms:
1 Nd 0.000 0.645 0.750
2 Nd 0.000 0.355 0.250
3 Al 0.000 0.207 0.750
4 Al 0.000 0.793 0.250
5 Pd 0.000 0.000 0.500
6 Pd 0.000 0.000 0.000
7 Pd 0.500 0.958 0.750
8 Pd 0.500 0.042 0.250
9 Pd 0.500 0.694 0.056
10 Pd 0.500 0.306 0.944
11 Pd 0.500 0.694 0.444
12 Pd 0.500 0.306 0.556

Nd2AlPd: relaxed, PBE-GGA.

Output
Energy of formation from the pure elements, eV/atom: -0.46
Energy, eV per atom: -5.077
Distance to the lowest polymorph of the same formula, meV per atom: 77.5
ρ, g cm⁻³: 6.905

Cell: 5.235 5.235 5.235 Å, 60.00 60.00 60.00°
Fractional coordinates of all 4 atoms:
1 Nd 0.250 0.250 0.250
2 Nd 0.750 0.750 0.750
3 Al 0.000 0.000 0.000
4 Pd 0.500 0.500 0.500

Nd2AlPd7: relaxed, PBE-GGA.

Output
Energy of formation from the pure elements, eV/atom: -0.24
Energy, eV per atom: -5.206
ρ, g cm⁻³: 8.122

Cell: 6.743 6.743 6.743 Å, 60.00 60.00 60.00°
Fractional coordinates of all 10 atoms:
1 Nd 0.250 0.250 0.250
2 Nd 0.750 0.750 0.750
3 Al 0.000 0.000 0.000
4 Pd 0.500 0.500 0.500
5 Pd 0.238 0.762 0.762
6 Pd 0.238 0.762 0.238
7 Pd 0.762 0.238 0.762
8 Pd 0.762 0.762 0.238
9 Pd 0.238 0.238 0.762
10 Pd 0.762 0.238 0.238

NdAl5Pd7: relaxed, PBE-GGA.

Output
Energy of formation from the pure elements, eV/atom: -0.79
Energy, eV per atom: -5.390
ρ, g cm⁻³: 8.026

Cell: 5.338 6.843 6.843 Å, 82.65 67.06 67.06°
Fractional coordinates of all 13 atoms:
1 Nd 0.996 0.004 0.004
2 Al 0.500 0.008 0.487
3 Al 0.006 0.007 0.487
4 Al 0.500 0.487 0.008
5 Al 0.006 0.487 0.007
6 Al 0.730 0.770 0.770
7 Pd 0.654 0.347 0.347
8 Pd 0.333 0.666 0.666
9 Pd 0.988 0.355 0.670
10 Pd 0.988 0.670 0.355
11 Pd 0.272 0.228 0.228
12 Pd 0.514 0.780 0.192
13 Pd 0.514 0.192 0.780

Nd2Al6Pd9: relaxed, PBE-GGA.

Output
Energy of formation from the pure elements, eV/atom: -0.75
Energy, eV per atom: -5.385
ρ, g cm⁻³: 7.202

Cell: 5.622 5.622 11.862 Å, 90.00 90.00 120.00°
Fractional coordinates of all 17 atoms:
1 Nd 0.000 0.000 0.694
2 Nd 0.000 0.000 0.306
3 Al 0.333 0.667 0.000
4 Al 0.667 0.333 0.000
5 Al 0.333 0.667 0.664
6 Al 0.667 0.333 0.664
7 Al 0.667 0.333 0.336
8 Al 0.333 0.667 0.336
9 Pd 0.500 0.000 0.831
10 Pd 0.000 0.500 0.831
11 Pd 0.500 0.500 0.831
12 Pd 0.500 0.000 0.169
13 Pd 0.000 0.500 0.169
14 Pd 0.500 0.500 0.169
15 Pd 0.500 0.000 0.500
16 Pd 0.000 0.500 0.500
17 Pd 0.500 0.500 0.500

Nd4Al12Pd: relaxed, PBE-GGA.

Output
Energy of formation from the pure elements, eV/atom: -0.52
Energy, eV per atom: -4.590
ρ, g cm⁻³: 4.876

Cell: 7.638 7.638 7.638 Å, 109.47 109.47 109.47°
Fractional coordinates of all 17 atoms:
1 Nd 0.000 0.000 0.500
2 Nd 0.500 0.000 0.000
3 Nd 0.500 0.500 0.500
4 Nd 0.000 0.500 0.000
5 Al 0.000 0.293 0.293
6 Al 0.000 0.707 0.707
7 Al 0.707 0.707 0.000
8 Al 0.293 0.293 0.000
9 Al 0.293 0.000 0.293
10 Al 0.707 0.000 0.707
11 Al 0.500 0.250 0.750
12 Al 0.500 0.750 0.250
13 Al 0.750 0.250 0.500
14 Al 0.250 0.750 0.500
15 Al 0.750 0.500 0.250
16 Al 0.250 0.500 0.750
17 Pd 0.000 0.000 0.000

NdAl2Pd3: relaxed, PBE-GGA.

Output
Energy of formation from the pure elements, eV/atom: -0.84
Energy, eV per atom: -5.482
ρ, g cm⁻³: 7.665

Cell: 5.446 6.471 6.471 Å, 100.51 90.00 90.00°
Fractional coordinates of all 12 atoms:
1 Nd 0.250 0.320 0.320
2 Nd 0.750 0.680 0.680
3 Al 0.500 0.782 0.218
4 Al 0.000 0.782 0.218
5 Al 0.000 0.218 0.782
6 Al 0.500 0.218 0.782
7 Pd 0.750 0.459 0.114
8 Pd 0.750 0.114 0.459
9 Pd 0.250 0.541 0.886
10 Pd 0.750 0.034 0.034
11 Pd 0.250 0.966 0.966
12 Pd 0.250 0.886 0.541